DFT (PBE) results for a relaxed Sm2Be3CdPt4 crystal.

Output
* DFT total energy: -53.5 eV per cell
* energy relative to the elements: -0.782 eV per atom
* crystal system: tetragonal

abc: 4.0591 4.0591 10.5067
angles: 90.00 90.00 90.00
Element x y z (fractional)
Sm 0.0000 0.5000 0.2331
Sm 0.5000 0.0000 0.7669
Be 0.0000 0.5000 0.8891
Be 0.5000 0.0000 0.1109
Be 0.5000 0.5000 0.5000
Cd 0.0000 0.0000 0.5000
Pt 0.0000 0.0000 0.0000
Pt 0.0000 0.5000 0.6686
Pt 0.5000 0.0000 0.3314
Pt 0.5000 0.5000 0.0000


DFT (PBE) results for a relaxed Sr2BeCdPt crystal.

Output
* DFT total energy: -15.6 eV per cell
* energy relative to the elements: -0.304 eV per atom
* crystal system: tetragonal

abc: 5.9086 5.9086 4.3722
angles: 90.00 90.00 90.00
Element x y z (fractional)
Sr 0.0000 0.5000 0.0000
Sr 0.5000 0.0000 0.0000
Be 0.0000 0.0000 0.5000
Cd 0.5000 0.5000 0.5000
Pt 0.0000 0.0000 0.0000


DFT (PBE) results for a relaxed SrBeCdPt2 crystal.

Output
* DFT total energy: -18.9 eV per cell
* energy relative to the elements: -0.092 eV per atom
* energy above the most stable polymorph in this dataset: 6.808 kcal/mol of atoms
* crystal system: tetragonal

abc: 4.3939 4.3939 5.2763
angles: 90.00 90.00 90.00
Element x y z (fractional)
Sr 0.0000 0.0000 0.0000
Be 0.0000 0.0000 0.5000
Cd 0.5000 0.5000 0.0000
Pt 0.0000 0.5000 0.5000
Pt 0.5000 0.0000 0.5000


DFT (PBE) results for a relaxed SrBeCdPt2 crystal.

Output
* DFT total energy: -20.3 eV per cell
* energy relative to the elements: -0.387 eV per atom
* energy above the most stable polymorph in this dataset: 0.000 kcal/mol of atoms
* crystal system: tetragonal

abc: 4.5479 4.5479 4.6771
angles: 90.00 90.00 90.00
Element x y z (fractional)
Sr 0.0000 0.0000 0.0000
Be 0.5000 0.5000 0.5000
Cd 0.5000 0.5000 0.0000
Pt 0.0000 0.5000 0.5000
Pt 0.5000 0.0000 0.5000


DFT (PBE) results for a relaxed Tb2Be3CdPt4 crystal.

Output
* DFT total energy: -53.6 eV per cell
* energy relative to the elements: -0.808 eV per atom
* crystal system: tetragonal

abc: 4.0211 4.0211 10.4759
angles: 90.00 90.00 90.00
Element x y z (fractional)
Tb 0.0000 0.5000 0.2318
Tb 0.5000 0.0000 0.7682
Be 0.0000 0.5000 0.8877
Be 0.5000 0.0000 0.1123
Be 0.5000 0.5000 0.5000
Cd 0.0000 0.0000 0.5000
Pt 0.0000 0.0000 0.0000
Pt 0.0000 0.5000 0.6700
Pt 0.5000 0.0000 0.3300
Pt 0.5000 0.5000 0.0000


DFT (PBE) results for a relaxed Tb2Be2CdPt5 crystal.

Output
* DFT total energy: -114.2 eV per cell
* energy relative to the elements: -0.929 eV per atom
* crystal system: tetragonal

abc: 9.6637 9.6637 3.5485
angles: 90.00 90.00 90.00
Element x y z (fractional)
Tb 0.1785 0.3215 0.0000
Tb 0.3215 0.8215 0.0000
Tb 0.6785 0.1785 0.0000
Tb 0.8215 0.6785 0.0000
Be 0.1178 0.6178 0.0000
Be 0.3822 0.1178 0.0000
Be 0.6178 0.8822 0.0000
Be 0.8822 0.3822 0.0000
Cd 0.0000 0.0000 0.0000
Cd 0.5000 0.5000 0.0000
Pt 0.0000 0.5000 0.5000
Pt 0.0683 0.7797 0.5000
Pt 0.2203 0.0683 0.5000
Pt 0.2797 0.5683 0.5000
Pt 0.4317 0.2797 0.5000
Pt 0.5000 0.0000 0.5000
Pt 0.5683 0.7203 0.5000
Pt 0.7203 0.4317 0.5000
Pt 0.7797 0.9317 0.5000
Pt 0.9317 0.2203 0.5000


DFT (PBE) results for a relaxed BeCdTcPt2 crystal.

Output
* DFT total energy: -20.0 eV per cell
* energy relative to the elements: 1.423 eV per atom
* crystal system: tetragonal

abc: 4.7736 4.7736 5.1503
angles: 90.00 90.00 90.00
Element x y z (fractional)
Be 0.0000 0.0000 0.0000
Cd 0.5000 0.5000 0.0000
Tc 0.5000 0.5000 0.5000
Pt 0.0000 0.5000 0.5000
Pt 0.5000 0.0000 0.5000


DFT (PBE) results for a relaxed Y2Be2CdPt5 crystal.

Output
* DFT total energy: -121.6 eV per cell
* energy relative to the elements: -0.929 eV per atom
* crystal system: tetragonal

abc: 9.6488 9.6488 3.5509
angles: 90.00 90.00 90.00
Element x y z (fractional)
Y 0.1785 0.3215 0.0000
Y 0.3215 0.8215 0.0000
Y 0.6785 0.1785 0.0000
Y 0.8215 0.6785 0.0000
Be 0.1179 0.6179 0.0000
Be 0.3821 0.1179 0.0000
Be 0.6179 0.8821 0.0000
Be 0.8821 0.3821 0.0000
Cd 0.0000 0.0000 0.0000
Cd 0.5000 0.5000 0.0000
Pt 0.0000 0.5000 0.5000
Pt 0.0683 0.7799 0.5000
Pt 0.2201 0.0683 0.5000
Pt 0.2799 0.5683 0.5000
Pt 0.4317 0.2799 0.5000
Pt 0.5000 0.0000 0.5000
Pt 0.5683 0.7201 0.5000
Pt 0.7201 0.4317 0.5000
Pt 0.7799 0.9317 0.5000
Pt 0.9317 0.2201 0.5000


DFT (PBE) results for a relaxed Y2Be3CdPt4 crystal.

Output
* DFT total energy: -57.3 eV per cell
* energy relative to the elements: -0.809 eV per atom
* crystal system: tetragonal

abc: 4.0201 4.0201 10.4579
angles: 90.00 90.00 90.00
Element x y z (fractional)
Y 0.0000 0.5000 0.2320
Y 0.5000 0.0000 0.7680
Be 0.0000 0.5000 0.8874
Be 0.5000 0.0000 0.1126
Be 0.5000 0.5000 0.5000
Cd 0.0000 0.0000 0.5000
Pt 0.0000 0.0000 0.0000
Pt 0.0000 0.5000 0.6696
Pt 0.5000 0.0000 0.3304
Pt 0.5000 0.5000 0.0000


DFT (PBE) results for a relaxed Be2ZnCd2Pt5 crystal.

Output
* DFT total energy: -91.9 eV per cell
* energy relative to the elements: -0.521 eV per atom
* crystal system: tetragonal

abc: 9.3369 9.3369 3.4108
angles: 90.00 90.00 90.00
Element x y z (fractional)
Be 0.1263 0.3737 0.0000
Be 0.3737 0.8737 0.0000
Be 0.6263 0.1263 0.0000
Be 0.8737 0.6263 0.0000
Zn 0.0000 0.0000 0.0000
Zn 0.5000 0.5000 0.0000
Cd 0.1748 0.6748 0.0000
Cd 0.3252 0.1748 0.0000
Cd 0.6748 0.8252 0.0000
Cd 0.8252 0.3252 0.0000
Pt 0.0000 0.5000 0.5000
Pt 0.0708 0.2084 0.5000
Pt 0.2084 0.9292 0.5000
Pt 0.2916 0.4292 0.5000
Pt 0.4292 0.7084 0.5000
Pt 0.5000 0.0000 0.5000
Pt 0.5708 0.2916 0.5000
Pt 0.7084 0.5708 0.5000
Pt 0.7916 0.0708 0.5000
Pt 0.9292 0.7916 0.5000


DFT (PBE) results for a relaxed PuBeCd crystal.

Output
* DFT total energy: -73.1 eV per cell
* energy relative to the elements: 0.237 eV per atom
* crystal system: orthorhombic

abc: 4.0258 10.9160 5.4795
angles: 90.00 90.00 90.00
Element x y z (fractional)
Pu 0.0000 0.2166 0.2500
Pu 0.0000 0.7834 0.7500
Pu 0.5000 0.2834 0.7500
Pu 0.5000 0.7166 0.2500
Be 0.0000 0.0839 0.7500
Be 0.0000 0.9161 0.2500
Be 0.5000 0.4161 0.2500
Be 0.5000 0.5839 0.7500
Cd 0.0000 0.5000 0.0000
Cd 0.0000 0.5000 0.5000
Cd 0.5000 0.0000 0.0000
Cd 0.5000 0.0000 0.5000


DFT (PBE) results for a relaxed RbBe2Cd crystal.

Output
* DFT total energy: -25.7 eV per cell
* energy relative to the elements: 0.726 eV per atom
* crystal system: tetragonal

abc: 4.8105 4.8105 17.9275
angles: 90.00 90.00 90.00
Element x y z (fractional)
Rb 0.0000 0.2500 0.3750
Rb 0.0000 0.7500 0.6250
Rb 0.5000 0.2500 0.1250
Rb 0.5000 0.7500 0.8750
Be 0.0000 0.0000 0.0000
Be 0.0000 0.5000 0.0000
Be 0.2500 0.2500 0.7500
Be 0.2500 0.7500 0.2500
Be 0.5000 0.0000 0.5000
Be 0.5000 0.5000 0.5000
Be 0.7500 0.2500 0.7500
Be 0.7500 0.7500 0.2500
Cd 0.0000 0.2500 0.8750
Cd 0.0000 0.7500 0.1250
Cd 0.5000 0.2500 0.6250
Cd 0.5000 0.7500 0.3750


DFT (PBE) results for a relaxed Rb3BeCd crystal.

Output
* DFT total energy: -4.6 eV per cell
* energy relative to the elements: 0.581 eV per atom
* energy above the most stable polymorph in this dataset: 0.000 kcal/mol of atoms
* crystal system: cubic

abc: 6.6667 6.6667 6.6667
angles: 90.00 90.00 90.00
Element x y z (fractional)
Rb 0.0000 0.0000 0.5000
Rb 0.0000 0.5000 0.0000
Rb 0.5000 0.0000 0.0000
Be 0.0000 0.0000 0.0000
Cd 0.5000 0.5000 0.5000


DFT (PBE) results for a relaxed Rb2BeCd crystal.

Output
* DFT total energy: -19.8 eV per cell
* energy relative to the elements: 0.405 eV per atom
* energy above the most stable polymorph in this dataset: 0.000 kcal/mol of atoms
* crystal system: tetragonal

abc: 13.1072 13.1072 4.7684
angles: 90.00 90.00 90.00
Element x y z (fractional)
Rb 0.0688 0.2500 0.1250
Rb 0.2500 0.5688 0.3750
Rb 0.2500 0.9312 0.8750
Rb 0.4312 0.2500 0.6250
Rb 0.5688 0.7500 0.6250
Rb 0.7500 0.0688 0.8750
Rb 0.7500 0.4312 0.3750
Rb 0.9312 0.7500 0.1250
Be 0.0000 0.0000 0.0000
Be 0.0000 0.5000 0.2500
Be 0.5000 0.0000 0.7500
Be 0.5000 0.5000 0.5000
Cd 0.0000 0.0000 0.5000
Cd 0.0000 0.5000 0.7500
Cd 0.5000 0.0000 0.2500
Cd 0.5000 0.5000 0.0000


DFT (PBE) results for a relaxed Rb2BeCd crystal.

Output
* DFT total energy: -15.9 eV per cell
* energy relative to the elements: 0.653 eV per atom
* energy above the most stable polymorph in this dataset: 5.724 kcal/mol of atoms
* crystal system: cubic

abc: 8.7577 8.7577 8.7577
angles: 90.00 90.00 90.00
Element x y z (fractional)
Rb 0.2500 0.2500 0.2500
Rb 0.2500 0.2500 0.7500
Rb 0.2500 0.7500 0.2500
Rb 0.2500 0.7500 0.7500
Rb 0.7500 0.2500 0.2500
Rb 0.7500 0.2500 0.7500
Rb 0.7500 0.7500 0.2500
Rb 0.7500 0.7500 0.7500
Be 0.0000 0.0000 0.0000
Be 0.0000 0.5000 0.5000
Be 0.5000 0.0000 0.5000
Be 0.5000 0.5000 0.0000
Cd 0.0000 0.0000 0.5000
Cd 0.0000 0.5000 0.0000
Cd 0.5000 0.0000 0.0000
Cd 0.5000 0.5000 0.5000


DFT (PBE) results for a relaxed RbBe3Cd crystal.

Output
* DFT total energy: -8.1 eV per cell
* energy relative to the elements: 0.987 eV per atom
* energy above the most stable polymorph in this dataset: 0.000 kcal/mol of atoms
* crystal system: cubic

abc: 4.7562 4.7562 4.7562
angles: 90.00 90.00 90.00
Element x y z (fractional)
Rb 0.0000 0.0000 0.0000
Be 0.0000 0.5000 0.5000
Be 0.5000 0.0000 0.5000
Be 0.5000 0.5000 0.0000
Cd 0.5000 0.5000 0.5000


DFT (PBE) results for a relaxed RbBe3Cd crystal.

Output
* DFT total energy: -2.2 eV per cell
* energy relative to the elements: 2.181 eV per atom
* energy above the most stable polymorph in this dataset: 27.536 kcal/mol of atoms
* crystal system: cubic

abc: 6.3335 6.3335 6.3335
angles: 90.00 90.00 90.00
Element x y z (fractional)
Rb 0.0000 0.0000 0.0000
Be 0.0000 0.0000 0.5000
Be 0.0000 0.5000 0.0000
Be 0.5000 0.0000 0.0000
Cd 0.5000 0.5000 0.5000


DFT (PBE) results for a relaxed RbBe2CdRh crystal.

Output
* DFT total energy: -5.7 eV per cell
* energy relative to the elements: 2.189 eV per atom
* crystal system: tetragonal

abc: 5.1040 5.1040 4.8871
angles: 90.00 90.00 90.00
Element x y z (fractional)
Rb 0.0000 0.0000 0.0000
Be 0.0000 0.5000 0.0000
Be 0.5000 0.0000 0.0000
Cd 0.5000 0.5000 0.5000
Rh 0.0000 0.0000 0.5000


DFT (PBE) results for a relaxed RbTaBeCd2 crystal.

Output
* DFT total energy: -13.6 eV per cell
* energy relative to the elements: 0.950 eV per atom
* crystal system: tetragonal

abc: 5.6523 5.6523 4.7736
angles: 90.00 90.00 90.00
Element x y z (fractional)
Rb 0.0000 0.0000 0.0000
Ta 0.5000 0.5000 0.5000
Be 0.5000 0.5000 0.0000
Cd 0.0000 0.5000 0.5000
Cd 0.5000 0.0000 0.5000


DFT (PBE) results for a relaxed Rb2BeCdTe crystal.

Output
* DFT total energy: -9.2 eV per cell
* crystal system: tetragonal
* raw formation energy: 0.11 eV/atom

abc: 7.0256 7.0256 4.8427
angles: 90.00 90.00 90.00
Element x y z (fractional)
Rb 0.0000 0.5000 0.0000
Rb 0.5000 0.0000 0.0000
Be 0.0000 0.0000 0.5000
Cd 0.5000 0.5000 0.5000
Te 0.0000 0.0000 0.0000